Compound: Zr5InHg3
Source: the Alexandria database
Functional: PBE
Structure: relaxed

Unit cell a=5.9796 b=8.7752 c=8.7749 alpha=120.00 beta=90.00 gamma=90.00
Closest atoms and distances in Å follow each position.
Positions (direct):
Zr (0.2500, 0.3118, 0.3118)  5 Hg 2.88-3.02, 2 In 3.12
In (0.5000, 0.0000, 0.0000)  2 In 2.99, 6 Zr 3.12
Hg (0.2500, 0.0000, 0.3600)  9 Zr 2.88-3.19
Zr (0.0000, 0.6667, 0.3333)  2 Zr 2.99, 6 Hg 3.19
Zr (0.5000, 0.6667, 0.3333)  2 Zr 2.99, 6 Hg 3.19
Zr (0.2500, 0.6882, 0.0000)  5 Hg 2.88-3.02, 2 In 3.12
Zr (0.5000, 0.3333, 0.6667)  2 Zr 2.99, 6 Hg 3.19
Zr (0.0000, 0.3333, 0.6667)  2 Zr 2.99, 6 Hg 3.19
Hg (0.7500, 0.6399, 0.0000)  9 Zr 2.88-3.19
Hg (0.2500, 0.6400, 0.6400)  9 Zr 2.88-3.19
Hg (0.7500, 0.0000, 0.6400)  9 Zr 2.88-3.19
Zr (0.2500, 0.0000, 0.6882)  5 Hg 2.88-3.02, 2 In 3.12
Hg (0.7500, 0.3600, 0.3600)  9 Zr 2.88-3.19
Hg (0.2500, 0.3601, 0.0000)  9 Zr 2.88-3.19
Zr (0.7500, 0.0000, 0.3118)  5 Hg 2.88-3.02, 2 In 3.12
Zr (0.7500, 0.6882, 0.6882)  5 Hg 2.88-3.02, 2 In 3.12
In (0.0000, 0.0000, 0.0000)  2 In 2.99, 6 Zr 3.12
Zr (0.7500, 0.3118, 0.0000)  5 Hg 2.88-3.02, 2 In 3.12

## Properties
SG: P6_3/mcm
Calculated formation energy: -154 meV/atom
Total energy: -5.31 eV per atom

=====

Compound: TmLuCu
Source: the Alexandria database
Functional: PBE
Structure: relaxed

Unit cell a=3.6792 b=4.7247 c=4.7247 alpha=120.00 beta=90.00 gamma=90.00
Closest atoms and distances in Å follow each position.
Positions (direct):
Lu (0.0802, 0.0000, 0.0000)  3 Cu 2.87
Cu (0.3240, 0.3333, 0.6667)  3 Lu 2.87, 3 Tm 2.91
Tm (0.5958, 0.6667, 0.3333)  3 Cu 2.91

## Properties
SG: P3m1
Calculated formation energy: 21 meV/atom
Total energy: -4.34 eV per atom
ΔE to the lowest computed polymorph: 178.3 meV/atom

=====

| no. | mass density (g/cm3) |
| --- | --- |
| 1 | 9.77 |
| 2 | 9.51 |